*one*
{
  "formula": "Ca8Zn2Pt",
  "functional": "GGA-PBE",
  "state": "relaxed",
  "vol_a3_per_cell": 363,
  "lattice_angstrom": [[4.396, -7.064, 0.000], [4.396, 7.064, 0.000], [-2.912, 0.000, 5.837]],
  "species": ["Ca", "Ca", "Ca", "Ca", "Ca", "Ca", "Ca", "Ca", "Zn", "Zn", "Pt"],
  "fractional_positions": [[0.000, 0.000, 0.000], [0.142, 0.516, 0.184], [0.243, 0.988, 0.547], [0.438, 0.688, 0.804], [0.516, 0.142, 0.184], [0.677, 0.677, 0.389], [0.688, 0.438, 0.804], [0.988, 0.243, 0.547], [0.049, 0.664, 0.716], [0.664, 0.049, 0.716], [0.336, 0.336, 0.416]]
}

*two*
{
  "formula": "Ca8Zn2Pt",
  "functional": "GGA-PBE",
  "state": "relaxed",
  "vol_a3_per_cell": 340,
  "lattice_angstrom": [[9.405, -2.649, 0.000], [9.405, 2.649, 0.000], [-2.060, 0.000, 6.819]],
  "species": ["Ca", "Ca", "Ca", "Ca", "Ca", "Ca", "Ca", "Ca", "Zn", "Zn", "Pt"],
  "fractional_positions": [[0.029, 0.029, 0.299], [0.210, 0.210, 0.812], [0.344, 0.344, 0.535], [0.409, 0.409, 0.076], [0.591, 0.591, 0.924], [0.656, 0.656, 0.465], [0.790, 0.790, 0.188], [0.971, 0.971, 0.701], [0.186, 0.186, 0.224], [0.814, 0.814, 0.776], [0.500, 0.500, 0.500]]
}

Which structure wins on stability? *two* wins.

*one*
{
  "formula": "Ca3Zn4Pt4",
  "functional": "GGA-PBE",
  "state": "relaxed",
  "vol_a3_per_cell": 231,
  "lattice_angstrom": [[-3.864, 3.864, 3.864], [3.864, -3.864, 3.864], [3.864, 3.864, -3.864]],
  "species": ["Ca", "Ca", "Ca", "Zn", "Zn", "Zn", "Zn", "Pt", "Pt", "Pt", "Pt"],
  "fractional_positions": [[0.000, 0.500, 0.500], [0.500, 0.000, 0.500], [0.500, 0.500, 0.000], [0.000, 0.000, 0.249], [0.000, 0.249, 0.000], [0.249, 0.000, 0.000], [0.751, 0.751, 0.751], [0.000, 0.000, 0.613], [0.000, 0.613, 0.000], [0.387, 0.387, 0.387], [0.613, 0.000, 0.000]]
}

*two*
{
  "formula": "Ca3Zn4Pt4",
  "functional": "GGA-PBE",
  "state": "relaxed",
  "vol_a3_per_cell": 215,
  "lattice_angstrom": [[-2.101, 3.631, 7.056], [2.101, -3.631, 7.056], [2.101, 3.631, -7.056]],
  "species": ["Ca", "Ca", "Ca", "Zn", "Zn", "Zn", "Zn", "Pt", "Pt", "Pt", "Pt"],
  "fractional_positions": [[0.000, 0.000, 0.000], [0.376, 0.876, 0.500], [0.624, 0.124, 0.500], [0.021, 0.327, 0.694], [0.366, 0.673, 0.694], [0.634, 0.327, 0.306], [0.979, 0.673, 0.306], [0.220, 0.220, 0.000], [0.311, 0.500, 0.811], [0.689, 0.500, 0.189], [0.780, 0.780, 0.000]]
}

Which structure wins on stability? *two* wins.

*one*
{
  "formula": "CaZrPt",
  "functional": "GGA-PBE",
  "state": "relaxed",
  "vol_a3_per_cell": 77,
  "lattice_angstrom": [[4.506, 0.000, 0.000], [-2.253, 3.903, 0.000], [0.000, 0.000, 4.384]],
  "species": ["Ca", "Zr", "Pt"],
  "fractional_positions": [[0.000, 0.000, 0.000], [0.333, 0.667, 0.514], [0.667, 0.333, 0.420]]
}

*two*
{
  "formula": "CaZrPt",
  "functional": "GGA-PBE",
  "state": "relaxed",
  "vol_a3_per_cell": 299,
  "lattice_angstrom": [[6.685, 0.000, 0.000], [0.000, 6.685, 0.000], [0.000, 0.000, 6.685]],
  "species": ["Ca", "Ca", "Ca", "Ca", "Zr", "Zr", "Zr", "Zr", "Pt", "Pt", "Pt", "Pt"],
  "fractional_positions": [[0.000, 0.000, 0.000], [0.000, 0.500, 0.500], [0.500, 0.000, 0.500], [0.500, 0.500, 0.000], [0.000, 0.000, 0.500], [0.000, 0.500, 0.000], [0.500, 0.000, 0.000], [0.500, 0.500, 0.500], [0.250, 0.250, 0.750], [0.250, 0.750, 0.250], [0.750, 0.250, 0.250], [0.750, 0.750, 0.750]]
}

Which structure wins on stability? *two* wins.